Entry from OQMD: an optimized crystal structure of PuGe2Pd4 (PBE).

The structure in CIF format:
```
data_PuGe2Pd4
_chemical_formula_sum 'Pu2 Ge4 Pd8'
_space_group_name_H-M_alt 'P 42/m n m'
_space_group_IT_number 136
_space_group_name_Hall '-P 4n 2n'
_cell_length_a 7.879
_cell_length_b 7.879
_cell_length_c 3.959
_cell_angle_alpha 90.00
_cell_angle_beta 90.00
_cell_angle_gamma 90.00
loop_
_atom_site_label
_atom_site_type_symbol
_atom_site_fract_x
_atom_site_fract_y
_atom_site_fract_z
Pu1 Pu 0.000 0.000 0.000
Ge1 Ge 0.219 0.219 0.500
Pd1 Pd 0.085 0.666 0.500
```

Computed properties:
**Calculated total energy**: -96.83 eV/cell